# 1
{"formula": "HfHg3", "functional": "PBE", "state": "optimized geometry", "lattice": [[3.131, 0.000, 0.000], [0.000, 3.165, 0.000], [0.000, 0.000, 9.595]], "species": ["Hf", "Hg", "Hg", "Hg"], "fractional_positions": [[0.000, 0.000, 0.972], [0.000, 0.500, 0.461], [0.500, 0.500, 0.190], [0.500, 0.000, 0.711]], "dos_at_fermi_per_ev_fu": 1.7, "formation_energy_ev_per_atom": 0.155, "sg": "Pmm2"}



# 2
{"formula": "Te2IrSe", "functional": "PBE", "state": "optimized geometry", "lattice": [[7.485, -0.016, -0.010], [6.467, 3.768, -0.010], [6.467, 1.739, 3.343]], "species": ["Te", "Te", "Ir", "Se"], "fractional_positions": [[0.985, 0.985, 0.985], [0.515, 0.515, 0.515], [0.250, 0.250, 0.250], [0.750, 0.750, 0.750]], "dos_at_fermi_per_ev_fu": 3.6, "sg": "R-3m", "e_form_raw_ev_per_atom": -0.006}